No. 1
Cs4OsO6 PBE-GGA relaxed; crystal system = trigonal; SG = R-3c (167); raw formation energy = -15.2 eV per formula unit
1.0
8.047 0.097 -0.165
0.164 8.046 -0.165
-0.097 -0.097 8.049
Cs O Os
8 12 2
direct
0.617 0.883 0.750
0.883 0.250 0.383
0.250 0.617 0.117
0.250 0.250 0.750
0.750 0.750 0.250
0.383 0.117 0.250
0.750 0.383 0.883
0.117 0.750 0.617
0.779 0.054 0.062
0.946 0.062 0.779
0.562 0.446 0.279
0.721 0.562 0.554
0.438 0.554 0.721
0.554 0.279 0.562
0.446 0.721 0.438
0.221 0.946 0.938
0.279 0.438 0.446
0.938 0.779 0.946
0.054 0.938 0.221
0.062 0.221 0.054
0.000 0.000 0.000
0.500 0.500 0.500



No. 2
LaGe3Pt2 PBE-GGA relaxed; E_form = -724 meV/atom; crystal system = monoclinic; DOS at the Fermi energy = 2.12 states/eV/f.u.; SG = C2/m (12)
1.0
4.386 0.000 0.000
-2.193 7.905 -2.439
0.000 0.231 10.147
Ge La Pt
9 3 6
direct
0.635 0.270 0.187
0.043 0.087 0.358
0.342 0.684 0.061
0.212 0.424 0.369
0.788 0.576 0.631
0.500 0.000 0.500
0.365 0.730 0.813
0.957 0.913 0.642
0.658 0.316 0.939
0.159 0.317 0.708
0.841 0.683 0.292
0.000 0.000 0.000
0.487 0.975 0.223
0.805 0.610 0.896
0.351 0.701 0.542
0.513 0.025 0.777
0.649 0.299 0.458
0.195 0.390 0.104



No. 3
Tm2LuIn PBE-GGA relaxed; E_form = -255 meV/atom; polymorph energy (0 for the lowest one) = 0 meV/atom; crystal system = tetragonal; DOS at the Fermi energy = 4.25 states/eV/f.u.; SG = P4/mmm (123)
1.0
4.766 0.000 0.000
0.000 4.771 0.000
0.000 0.000 4.771
Lu Tm In
1 2 1
direct
0.500 0.500 0.500
0.000 0.500 0.000
0.000 0.000 0.500
0.500 0.000 0.000



No. 4
KReBr2 PBE-GGA relaxed; polymorph energy (0 for the lowest one) = 345 meV/atom; crystal system = cubic; DOS at the Fermi energy = 0.37 states/eV/f.u.; SG = Fm-3m (225); raw formation energy = 2.2 eV per formula unit
1.0
0.561 -5.508 0.565
-4.194 -3.382 -1.396
0.416 -3.232 -4.512
Br Re K
2 1 1
direct
0.750 0.750 0.750
0.250 0.250 0.250
0.500 0.500 0.500
0.000 0.000 0.000



Results for V: 521; 354; 108; 122 (in Å³/cell, following the order of the records).